Density functional theory data (PBE-GGA) for an optimized crystal structure of Dy2Sn.

## Properties
The calculation puts the total energy at -0.183 Ha/atom.

Cell lengths 4.5515, 4.5515, 16.7191 Å; angles 90.00, 90.00, 90.00 degrees
Last column: nearest neighbours and their distance in Å.
Space group I4/mmm (No. 139)
Inequivalent atoms, fractional coordinates:
Dy  0.0000  0.0000  0.1763 (multiplicity 4)  5 Sn 3.11-3.28
Dy  0.0000  0.5000  0.0000 (multiplicity 4)  4 Dy 3.22, 4 Sn 3.24
Sn  0.0000  0.0000  0.3624 (multiplicity 4)  9 Dy 3.11-3.28